Record 1
DFT (GGA-PBE) results for crystalline SbAsI3 at its relaxed geometry.

Summary:
ΔE_f (raw) ... 0.41 eV/atom
Space-group type ... No. 221
Total moment ... 2.9 μB/cell
Density ... 4.3 g cm⁻³
Raw total energy ... -2.27 eV per atom
ΔE to the lowest computed polymorph ... 0.007 eV per atom

CIF file:
```
data_SbAsI3
_chemical_formula_sum 'Sb1 As1 I3'
_cell_length_a 6.041
_cell_length_b 6.041
_cell_length_c 6.041
_cell_angle_alpha 90.00
_cell_angle_beta 90.00
_cell_angle_gamma 90.00
_symmetry_space_group_name_H-M 'P 1'
_symmetry_Int_Tables_number 1
loop_
_symmetry_equiv_pos_as_xyz
'x,y,z'
loop_
_atom_site_label
_atom_site_fract_x
_atom_site_fract_y
_atom_site_fract_z
I1 0.000 0.500 0.000
I2 0.000 0.000 0.500
I3 0.500 0.000 0.000
As1 0.500 0.500 0.500
Sb1 0.000 0.000 0.000
```

=====

Record 2
DFT (GGA-PBE) results for crystalline NdHo2S at its relaxed geometry.

Summary:
ΔE_f (raw) ... -0.75 eV/atom
Space-group type ... No. 166
Total moment ... 0.0 μB/cell
Density ... 7.2 g cm⁻³
Raw total energy ... -5.27 eV per atom
ΔE to the lowest computed polymorph ... 0.186 eV per atom

CIF file:
```
data_NdHo2S
_chemical_formula_sum 'Nd1 Ho2 S1'
_cell_length_a 3.649
_cell_length_b 3.649
_cell_length_c 10.379
_cell_angle_alpha 79.88
_cell_angle_beta 79.88
_cell_angle_gamma 60.00
_symmetry_space_group_name_H-M 'P 1'
_symmetry_Int_Tables_number 1
loop_
_symmetry_equiv_pos_as_xyz
'x,y,z'
loop_
_atom_site_label
_atom_site_fract_x
_atom_site_fract_y
_atom_site_fract_z
S1 0.500 0.500 0.500
Nd1 0.000 0.000 0.000
Ho1 0.887 0.887 0.339
Ho2 0.113 0.113 0.661
```

=====

Record 3
DFT (GGA-PBE) results for crystalline Tm7CdPb4 at its relaxed geometry.

Summary:
Calculated formation energy ... -0.118 eV/atom
Space-group type ... No. 12
Total moment ... 0.0 μB/cell
Density ... 9.6 g cm⁻³
Raw total energy ... -4.04 eV per atom

CIF file:
```
data_Tm7CdPb4
_chemical_formula_sum 'Tm7 Cd1 Pb4'
_cell_length_a 5.580
_cell_length_b 9.217
_cell_length_c 8.003
_cell_angle_alpha 80.26
_cell_angle_beta 69.60
_cell_angle_gamma 72.38
_symmetry_space_group_name_H-M 'P 1'
_symmetry_Int_Tables_number 1
loop_
_symmetry_equiv_pos_as_xyz
'x,y,z'
loop_
_atom_site_label
_atom_site_fract_x
_atom_site_fract_y
_atom_site_fract_z
Tm1 0.795 0.866 0.544
Tm2 0.919 0.320 0.841
Tm3 0.649 0.427 0.274
Tm4 0.205 0.134 0.456
Tm5 0.351 0.573 0.726
Tm6 0.500 0.000 0.000
Tm7 0.081 0.680 0.159
Pb1 0.720 0.663 0.896
Pb2 0.422 0.782 0.375
Pb3 0.280 0.337 0.104
Pb4 0.578 0.218 0.625
Cd1 0.000 0.000 0.000
```

=====

Record 4
DFT (GGA-PBE) results for crystalline LiIn at its relaxed geometry.

Summary:
Calculated formation energy ... -0.228 eV/atom
Space-group type ... No. 19
Total moment ... 0.0 μB/cell
Density ... 4.9 g cm⁻³
Raw total energy ... -2.55 eV per atom

CIF file:
```
data_LiIn
_chemical_formula_sum 'Li8 In8'
_cell_length_a 6.302
_cell_length_b 5.168
_cell_length_c 10.239
_cell_angle_alpha 90.00
_cell_angle_beta 90.00
_cell_angle_gamma 90.00
_symmetry_space_group_name_H-M 'P 1'
_symmetry_Int_Tables_number 1
loop_
_symmetry_equiv_pos_as_xyz
'x,y,z'
loop_
_atom_site_label
_atom_site_fract_x
_atom_site_fract_y
_atom_site_fract_z
In1 0.367 0.736 0.016
In2 0.633 0.236 0.484
In3 0.135 0.930 0.265
In4 0.867 0.764 0.984
In5 0.865 0.430 0.235
In6 0.133 0.264 0.516
In7 0.635 0.570 0.735
In8 0.365 0.070 0.765
Li1 0.632 0.918 0.240
Li2 0.368 0.418 0.260
Li3 0.868 0.082 0.740
Li4 0.381 0.757 0.508
Li5 0.881 0.743 0.492
Li6 0.119 0.243 0.008
Li7 0.132 0.582 0.760
Li8 0.619 0.257 0.992
```

=====

Please write out number 2 again, unchanged.
DFT (GGA-PBE) results for crystalline NdHo2S at its relaxed geometry.

Summary:
ΔE_f (raw) ... -0.75 eV/atom
Space-group type ... No. 166
Total moment ... 0.0 μB/cell
Density ... 7.2 g cm⁻³
Raw total energy ... -5.27 eV per atom
ΔE to the lowest computed polymorph ... 0.186 eV per atom

CIF file:
```
data_NdHo2S
_chemical_formula_sum 'Nd1 Ho2 S1'
_cell_length_a 3.649
_cell_length_b 3.649
_cell_length_c 10.379
_cell_angle_alpha 79.88
_cell_angle_beta 79.88
_cell_angle_gamma 60.00
_symmetry_space_group_name_H-M 'P 1'
_symmetry_Int_Tables_number 1
loop_
_symmetry_equiv_pos_as_xyz
'x,y,z'
loop_
_atom_site_label
_atom_site_fract_x
_atom_site_fract_y
_atom_site_fract_z
S1 0.500 0.500 0.500
Nd1 0.000 0.000 0.000
Ho1 0.887 0.887 0.339
Ho2 0.113 0.113 0.661
```